DFT (PBE) results for a relaxed structure of Mg2H6PdRh.

Properties
The value obtained for the theoretical density is 5.0 g/cm³. The value obtained for the raw total energy is -3.826 eV per atom.

```
data_Mg2H6PdRh
_chemical_formula_sum 'Mg2 H6 Pd1 Rh1'
_space_group_name_H-M_alt 'P 1'
_space_group_IT_number 1
_cell_length_a 4.9142
_cell_length_b 4.9479
_cell_length_c 4.9736
_cell_angle_alpha 60.68
_cell_angle_beta 61.39
_cell_angle_gamma 60.90
loop_
_space_group_symop_operation_xyz
'x,y,z'
loop_
_atom_site_label
_atom_site_type_symbol
_atom_site_fract_x
_atom_site_fract_y
_atom_site_fract_z
Mg1 Mg 0.2432 0.2523 0.2502
Mg2 Mg 0.7568 0.7477 0.7498
H1 H 0.1897 0.7999 0.2987
H2 H 0.1934 0.2923 0.8085
H3 H 0.3199 0.7639 0.7585
H4 H 0.6801 0.2361 0.2415
H5 H 0.8066 0.7077 0.1915
H6 H 0.8103 0.2001 0.7013
Pd1 Pd 0.5000 0.5000 0.5000
Rh1 Rh 0.0000 0.0000 0.0000
```


DFT (PBE) results for a relaxed structure of MgHPdRh2.

Properties
The value obtained for the theoretical density is 9.0 g/cm³. The value obtained for the raw total energy is -5.242 eV per atom. The energy above the most stable polymorph in this dataset comes out at 0 meV per atom.

```
data_MgHPdRh2
_chemical_formula_sum 'Mg1 H1 Pd1 Rh2'
_space_group_name_H-M_alt 'P 1'
_space_group_IT_number 1
_cell_length_a 3.9430
_cell_length_b 3.9430
_cell_length_c 4.0170
_cell_angle_alpha 90.00
_cell_angle_beta 90.00
_cell_angle_gamma 90.00
loop_
_space_group_symop_operation_xyz
'x,y,z'
loop_
_atom_site_label
_atom_site_type_symbol
_atom_site_fract_x
_atom_site_fract_y
_atom_site_fract_z
Mg1 Mg 0.0000 0.0000 0.0000
H1 H 0.5000 0.5000 0.5000
Pd1 Pd 0.5000 0.5000 0.0000
Rh1 Rh 0.0000 0.5000 0.5000
Rh2 Rh 0.5000 0.0000 0.5000
```


DFT (PBE) results for a relaxed structure of MgHPdRh2.

Properties
The value obtained for the theoretical density is 9.0 g/cm³. The value obtained for the raw total energy is -5.212 eV per atom. The energy above the most stable polymorph in this dataset comes out at 30 meV per atom.

```
data_MgHPdRh2
_chemical_formula_sum 'Mg1 H1 Pd1 Rh2'
_space_group_name_H-M_alt 'P 1'
_space_group_IT_number 1
_cell_length_a 3.8840
_cell_length_b 3.8840
_cell_length_c 4.1159
_cell_angle_alpha 90.00
_cell_angle_beta 90.00
_cell_angle_gamma 90.00
loop_
_space_group_symop_operation_xyz
'x,y,z'
loop_
_atom_site_label
_atom_site_type_symbol
_atom_site_fract_x
_atom_site_fract_y
_atom_site_fract_z
Mg1 Mg 0.0000 0.0000 0.0000
H1 H 0.0000 0.0000 0.5000
Pd1 Pd 0.5000 0.5000 0.0000
Rh1 Rh 0.0000 0.5000 0.5000
Rh2 Rh 0.5000 0.0000 0.5000
```


DFT (PBE) results for a relaxed structure of MgH6Pd3Rh2.

Properties
The value obtained for the theoretical density is 8.7 g/cm³. The value obtained for the raw total energy is -4.496 eV per atom.

```
data_MgH6Pd3Rh2
_chemical_formula_sum 'Mg1 H6 Pd3 Rh2'
_space_group_name_H-M_alt 'P 1'
_space_group_IT_number 1
_cell_length_a 6.4901
_cell_length_b 6.4901
_cell_length_c 5.8630
_cell_angle_alpha 104.08
_cell_angle_beta 104.08
_cell_angle_gamma 26.35
loop_
_space_group_symop_operation_xyz
'x,y,z'
loop_
_atom_site_label
_atom_site_type_symbol
_atom_site_fract_x
_atom_site_fract_y
_atom_site_fract_z
Mg1 Mg 0.0000 0.0000 0.0000
H1 H 0.1656 0.1656 0.5320
H2 H 0.1808 0.1808 0.1439
H3 H 0.4794 0.4794 0.7022
H4 H 0.5206 0.5206 0.2978
H5 H 0.8192 0.8192 0.8561
H6 H 0.8344 0.8344 0.4680
Pd1 Pd 0.0000 0.0000 0.5000
Pd2 Pd 0.3370 0.3370 0.1656
Pd3 Pd 0.6630 0.6630 0.8344
Rh1 Rh 0.3392 0.3392 0.6746
Rh2 Rh 0.6608 0.6608 0.3254
```


DFT (PBE) results for a relaxed structure of Mg2HPdRu.

Properties
The value obtained for the theoretical density is 6.5 g/cm³. The value obtained for the raw total energy is -4.519 eV per atom.

```
data_Mg2HPdRu
_chemical_formula_sum 'Mg2 H1 Pd1 Ru1'
_space_group_name_H-M_alt 'P 1'
_space_group_IT_number 1
_cell_length_a 4.4373
_cell_length_b 4.4373
_cell_length_c 3.3609
_cell_angle_alpha 90.00
_cell_angle_beta 90.00
_cell_angle_gamma 90.00
loop_
_space_group_symop_operation_xyz
'x,y,z'
loop_
_atom_site_label
_atom_site_type_symbol
_atom_site_fract_x
_atom_site_fract_y
_atom_site_fract_z
Mg1 Mg 0.0000 0.5000 0.0000
Mg2 Mg 0.5000 0.0000 0.0000
H1 H 0.0000 0.0000 0.0000
Pd1 Pd 0.5000 0.5000 0.5000
Ru1 Ru 0.0000 0.0000 0.5000
```


DFT (PBE) results for a relaxed structure of Mg2H6PdRu.

Properties
The value obtained for the theoretical density is 4.9 g/cm³. The value obtained for the raw total energy is -4.037 eV per atom.

```
data_Mg2H6PdRu
_chemical_formula_sum 'Mg2 H6 Pd1 Ru1'
_space_group_name_H-M_alt 'P 1'
_space_group_IT_number 1
_cell_length_a 4.9294
_cell_length_b 4.9294
_cell_length_c 5.1919
_cell_angle_alpha 121.75
_cell_angle_beta 121.75
_cell_angle_gamma 82.16
loop_
_space_group_symop_operation_xyz
'x,y,z'
loop_
_atom_site_label
_atom_site_type_symbol
_atom_site_fract_x
_atom_site_fract_y
_atom_site_fract_z
Mg1 Mg 0.2357 0.7643 0.0000
Mg2 Mg 0.7643 0.2357 0.0000
H1 H 0.2306 0.2306 0.3714
H2 H 0.3205 0.3205 0.9652
H3 H 0.3408 0.8032 0.4820
H4 H 0.7488 0.7488 0.1586
H5 H 0.8032 0.3408 0.4820
H6 H 0.9328 0.9328 0.6655
Pd1 Pd 0.5788 0.5788 0.7000
Ru1 Ru 0.0782 0.0782 0.5233
```


DFT (PBE) results for a relaxed structure of MgSbHPd4.

Properties
The value obtained for the theoretical density is 8.8 g/cm³. The value obtained for the raw total energy is -4.632 eV per atom.

```
data_MgSbHPd4
_chemical_formula_sum 'Mg2 Sb2 H2 Pd8'
_space_group_name_H-M_alt 'P 1'
_space_group_IT_number 1
_cell_length_a 7.3659
_cell_length_b 7.3659
_cell_length_c 5.6695
_cell_angle_alpha 90.00
_cell_angle_beta 90.00
_cell_angle_gamma 135.40
loop_
_space_group_symop_operation_xyz
'x,y,z'
loop_
_atom_site_label
_atom_site_type_symbol
_atom_site_fract_x
_atom_site_fract_y
_atom_site_fract_z
Mg1 Mg 0.1048 0.8952 0.7500
Mg2 Mg 0.8952 0.1048 0.2500
Sb1 Sb 0.3970 0.6030 0.7500
Sb2 Sb 0.6030 0.3970 0.2500
H1 H 0.2636 0.7364 0.2500
H2 H 0.7364 0.2636 0.7500
Pd1 Pd 0.0000 0.5000 0.0000
Pd2 Pd 0.0000 0.5000 0.5000
Pd3 Pd 0.0885 0.9115 0.2500
Pd4 Pd 0.4089 0.5911 0.2500
Pd5 Pd 0.5000 0.0000 0.0000
Pd6 Pd 0.5000 0.0000 0.5000
Pd7 Pd 0.5911 0.4089 0.7500
Pd8 Pd 0.9115 0.0885 0.7500
```


DFT (PBE) results for a relaxed structure of MgScHPd2.

Properties
The value obtained for the theoretical density is 6.5 g/cm³. The value obtained for the raw total energy is -4.825 eV per atom.

```
data_MgScHPd2
_chemical_formula_sum 'Mg1 Sc1 H1 Pd2'
_space_group_name_H-M_alt 'P 1'
_space_group_IT_number 1
_cell_length_a 4.3121
_cell_length_b 4.3121
_cell_length_c 3.8799
_cell_angle_alpha 90.00
_cell_angle_beta 90.00
_cell_angle_gamma 90.00
loop_
_space_group_symop_operation_xyz
'x,y,z'
loop_
_atom_site_label
_atom_site_type_symbol
_atom_site_fract_x
_atom_site_fract_y
_atom_site_fract_z
Mg1 Mg 0.0000 0.0000 0.0000
Sc1 Sc 0.5000 0.5000 0.0000
H1 H 0.5000 0.5000 0.5000
Pd1 Pd 0.0000 0.5000 0.5000
Pd2 Pd 0.5000 0.0000 0.5000
```